Entry 1:
Computed, not measured: Li2TlGa2 after structural relaxation at the PBEsol level of DFT.

a b c (Å): 7.8810 7.8810 2.9431
angles (deg): 90.00 90.00 90.00
Last column: nearest neighbours and their distance in Å.
Space group P4/mbm (No. 127)
Asymmetric unit:
Li 0.1847 0.3153 0.0000 (multiplicity 4)  6 Ga 2.69-2.83, 2 Li 2.94
Tl 0.0000 0.0000 0.5000 (multiplicity 2)  2 Tl 2.94, 4 Ga 3.17, 8 Li 3.23
Ga 0.1135 0.6135 0.5000 (multiplicity 4)  1 Ga 2.53, 6 Li 2.69-2.83

Computed properties:
VASP energy: -28.31 eV per cell
ΔH_f (0 K): -0.182 eV per atom
density of states at the Fermi level: 3.8 states/eV/cell
spin magnetization: 0.00 μB per formula unit

Entry 2:
Computed, not measured: Li3TlGa after structural relaxation at the PBEsol level of DFT.

a b c (Å): 5.0314 5.0314 5.0314
angles (deg): 90.00 90.00 90.00
Last column: nearest neighbours and their distance in Å.
Space group Pm-3m (No. 221)
Asymmetric unit:
Li 0.0000 0.0000 0.5000 (multiplicity 3)  2 Tl 2.52
Tl 0.0000 0.0000 0.0000 (multiplicity 1)  6 Li 2.52
Ga 0.5000 0.5000 0.5000 (multiplicity 1)  12 Li 3.56

Computed properties:
energy relative to the lowest polymorph listed for this composition: 0.1874 eV/atom
VASP energy: -10.47 eV per cell
ΔH_f (0 K): 0.281 eV per atom
density of states at the Fermi level: 3.6 states/eV/cell
spin magnetization: 0.00 μB per formula unit

Entry 3:
Computed, not measured: Li3TlGa after structural relaxation at the PBEsol level of DFT.

a b c (Å): 4.8185 4.8185 4.8185
angles (deg): 90.00 90.00 90.00
Last column: nearest neighbours and their distance in Å.
Space group Pm-3m (No. 221)
Asymmetric unit:
Li 0.0000 0.0000 0.5000 (multiplicity 3)  2 Ga 2.41
Tl 0.5000 0.5000 0.5000 (multiplicity 1)  12 Li 3.41
Ga 0.0000 0.0000 0.0000 (multiplicity 1)  6 Li 2.41

Computed properties:
energy relative to the lowest polymorph listed for this composition: 0.0000 eV/atom
VASP energy: -11.40 eV per cell
ΔH_f (0 K): 0.093 eV per atom
density of states at the Fermi level: 3.3 states/eV/cell
spin magnetization: 0.01 μB per formula unit

Entry 4:
Computed, not measured: LiY2Ga2 after structural relaxation at the PBEsol level of DFT.

a b c (Å): 7.1503 7.1503 4.3252
angles (deg): 90.00 90.00 90.00
Last column: nearest neighbours and their distance in Å.
Space group P4/mbm (No. 127)
Asymmetric unit:
Li 0.0000 0.0000 0.0000 (multiplicity 2)  4 Ga 2.79
Y 0.1676 0.3324 0.5000 (multiplicity 4)  6 Ga 2.96-3.06
Ga 0.1327 0.6327 0.0000 (multiplicity 4)  1 Ga 2.68, 2 Li 2.79, 2 Y 2.96

Computed properties:
VASP energy: -49.64 eV per cell
ΔH_f (0 K): -0.506 eV per atom
density of states at the Fermi level: 9.2 states/eV/cell
spin magnetization: 0.00 μB per formula unit

Entry 5:
Computed, not measured: Li2YGa2 after structural relaxation at the PBEsol level of DFT.

a b c (Å): 3.9275 3.9275 12.2843
angles (deg): 90.00 90.00 90.00
Last column: nearest neighbours and their distance in Å.
Space group I4/mmm (No. 139)
Asymmetric unit:
Li 0.0000 0.5000 0.2500 (multiplicity 4)  4 Ga 2.67, 4 Li 2.78
Y 0.0000 0.0000 0.0000 (multiplicity 2)  8 Ga 3.05
Ga 0.0000 0.0000 0.3968 (multiplicity 4)  1 Ga 2.54, 4 Li 2.67

Computed properties:
VASP energy: -38.74 eV per cell
ΔH_f (0 K): -0.387 eV per atom
density of states at the Fermi level: 6.5 states/eV/cell
spin magnetization: 0.00 μB per formula unit

Entry 6:
Computed, not measured: Li2Zn2Ga after structural relaxation at the PBEsol level of DFT.

a b c (Å): 3.4978 3.4978 13.1621
angles (deg): 90.00 90.00 90.00
Last column: nearest neighbours and their distance in Å.
Space group I4/mmm (No. 139)
Asymmetric unit:
Li 0.0000 0.5000 0.2500 (multiplicity 4)  4 Li 2.47, 4 Zn 2.65
Zn 0.0000 0.0000 0.0990 (multiplicity 4)  1 Zn 2.60, 4 Li 2.65, 4 Ga 2.80
Ga 0.0000 0.0000 0.5000 (multiplicity 2)  8 Zn 2.80

Computed properties:
VASP energy: -20.37 eV per cell
ΔH_f (0 K): 0.050 eV per atom
density of states at the Fermi level: 4.0 states/eV/cell
spin magnetization: 0.00 μB per formula unit

Entry 7:
Computed, not measured: Li2ZrGa2 after structural relaxation at the PBEsol level of DFT.

a b c (Å): 3.7176 3.7176 12.0788
angles (deg): 90.00 90.00 90.00
Last column: nearest neighbours and their distance in Å.
Space group I4/mmm (No. 139)
Asymmetric unit:
Li 0.0000 0.5000 0.2500 (multiplicity 4)  4 Ga 2.59, 4 Li 2.63
Zr 0.0000 0.0000 0.0000 (multiplicity 2)  8 Ga 2.89
Ga 0.0000 0.0000 0.3999 (multiplicity 4)  1 Ga 2.42, 4 Li 2.59

Computed properties:
VASP energy: -42.53 eV per cell
ΔH_f (0 K): -0.313 eV per atom
density of states at the Fermi level: 4.4 states/eV/cell
spin magnetization: 0.00 μB per formula unit

Entry 8:
Computed, not measured: LiZrGa3 after structural relaxation at the PBEsol level of DFT.

a b c (Å): 4.3682 4.3682 4.3682
angles (deg): 90.00 90.00 90.00
Last column: nearest neighbours and their distance in Å.
Space group Pm-3m (No. 221)
Asymmetric unit:
Li 0.0000 0.0000 0.0000 (multiplicity 1)  6 Ga 2.18
Zr 0.5000 0.5000 0.5000 (multiplicity 1)  12 Ga 3.09
Ga 0.0000 0.0000 0.5000 (multiplicity 3)  2 Li 2.18

Computed properties:
VASP energy: -20.60 eV per cell
ΔH_f (0 K): 0.096 eV per atom
density of states at the Fermi level: 2.7 states/eV/cell
spin magnetization: 0.00 μB per formula unit